Entry from the Alexandria database: Mg3SbN after structural relaxation (GGA-PBE).

```
Mg3SbN
1.0
7.349 0.000 0.000
0.000 3.289 0.000
-1.173 0.000 7.758
Mg Sb N
6 2 2
Direct
0.058 0.250 0.339 Mg
0.360 0.750 0.554 Mg
0.365 0.750 0.189 Mg
0.635 0.250 0.811 Mg
0.640 0.250 0.446 Mg
0.942 0.750 0.661 Mg
0.233 0.250 0.860 Sb
0.767 0.750 0.140 Sb
0.344 0.250 0.364 N
0.656 0.750 0.636 N
```

space-group type: No. 11
formation energy from raw total energies: -0.467 eV/atom



Entry from the Alexandria database: Sr2InH after structural relaxation (GGA-PBE).

```
Sr2InH
1.0
-3.820 3.820 4.139
3.820 -3.820 4.139
3.820 3.820 -4.139
Sr In H
4 2 2
Direct
0.025 0.125 0.400 Sr
0.375 0.975 0.100 Sr
0.725 0.625 0.600 Sr
0.875 0.275 0.900 Sr
0.250 0.750 0.500 In
0.500 0.500 0.000 In
0.000 0.000 0.000 H
0.750 0.250 0.500 H
```

space-group type: No. 122
raw total energy: -2.6468 eV/atom



Entry from the Alexandria database: CsSb2Pd4 after structural relaxation (GGA-PBE).

```
CsSb2Pd4
1.0
2.125 -10.268 0.000
2.125 10.268 0.000
0.000 0.000 4.062
Cs Sb Pd
1 2 4
Direct
0.000 0.000 0.000 Cs
0.375 0.625 0.500 Sb
0.625 0.375 0.500 Sb
0.201 0.799 0.500 Pd
0.296 0.704 0.000 Pd
0.704 0.296 0.000 Pd
0.799 0.201 0.500 Pd
```

space-group type: No. 65
formation energy from raw total energies: -0.358 eV/atom



Entry from the Alexandria database: LaPa2Re after structural relaxation (GGA-PBE).

```
LaPa2Re
1.0
3.400 0.000 0.000
0.000 3.400 0.000
0.000 0.000 8.551
La Pa Re
1 2 1
Direct
0.000 0.000 0.000 La
0.500 0.500 0.295 Pa
0.500 0.500 0.705 Pa
0.000 0.000 0.500 Re
```

space-group type: No. 123
energy of formation: 0.12 eV per atom



no.,size of the total moment (μB/f.u.),ρ (g/cm3)
1,0.00,3.696
2,0.00,4.001
3,0.00,7.513
4,0.00,13.228